# 1
Here is crystalline Sm2HgRh at its relaxed geometry from the Alexandria database. Energies are from PBE.

Geometry as POSCAR:
```
Sm2HgRh
1.0
2.051 1.184 7.623
-2.051 1.184 7.623
0.000 -2.368 7.623
Sm Hg Rh
2 1 1
direct
0.000 0.000 0.000
0.199 0.199 0.199
0.433 0.433 0.433
0.598 0.598 0.598
```

Summary:
As for the space group: R3m. For the energy above the most stable polymorph in this dataset, the calculation gives 0.23 eV per formula unit. The calculation puts the density of states at the Fermi level at 2.287 states/eV per cell. The calculation puts the energy relative to the elements at -555 meV per atom.

***

# 2
Here is crystalline Sm5Hg4Rh at its relaxed geometry from the Alexandria database. Energies are from PBE.

Geometry as POSCAR:
```
Sm5Hg4Rh
1.0
3.698 0.000 0.000
0.000 3.698 0.000
0.000 0.000 19.038
Sm Hg Rh
5 4 1
direct
0.000 0.000 0.000
0.000 0.000 0.206
0.000 0.000 0.415
0.000 0.000 0.585
0.000 0.000 0.794
0.500 0.500 0.103
0.500 0.500 0.307
0.500 0.500 0.693
0.500 0.500 0.897
0.500 0.500 0.500
```

Summary:
As for the space group: P4/mmm. The calculation puts the density of states at the Fermi level at 8.709 states/eV per cell. The calculation puts the energy relative to the elements at -522 meV per atom.

***

# 3
Here is crystalline Sm8Hg2Rh3 at its relaxed geometry from the Alexandria database. Energies are from PBE.

Geometry as POSCAR:
```
Sm8Hg2Rh3
1.0
8.809 0.000 0.000
0.000 5.039 0.000
-2.994 0.000 8.299
Sm Hg Rh
8 2 3
direct
0.115 0.000 0.384
0.138 0.500 0.870
0.369 0.500 0.637
0.384 0.000 0.117
0.616 0.000 0.883
0.631 0.500 0.363
0.862 0.500 0.130
0.885 0.000 0.616
0.244 0.500 0.256
0.756 0.500 0.744
0.246 0.000 0.746
0.500 0.500 0.000
0.754 0.000 0.254
```

Summary:
As for the space group: P2/m. The calculation puts the density of states at the Fermi level at 14.779 states/eV per cell. The calculation puts the energy relative to the elements at -414 meV per atom.

***

# 4
Here is crystalline Sm2HgRh at its relaxed geometry from the Alexandria database. Energies are from PBE.

Geometry as POSCAR:
```
Sm2HgRh
1.0
0.000 3.646 3.646
3.646 0.000 3.646
3.646 3.646 0.000
Sm Hg Rh
2 1 1
direct
0.250 0.250 0.250
0.750 0.750 0.750
0.000 0.000 0.000
0.500 0.500 0.500
```

Summary:
As for the space group: Fm-3m. For the energy above the most stable polymorph in this dataset, the calculation gives 0.26 eV per formula unit. The calculation puts the density of states at the Fermi level at 2.214 states/eV per cell. The calculation puts the energy relative to the elements at -548 meV per atom.

***

# 5
Here is crystalline Sm3Hg4Rh4 at its relaxed geometry from the Alexandria database. Energies are from PBE.

Geometry as POSCAR:
```
Sm3Hg4Rh4
1.0
-1.915 3.988 7.872
1.915 -3.988 7.872
1.915 3.988 -7.872
Sm Hg Rh
3 4 4
direct
0.000 0.000 0.000
0.388 0.888 0.500
0.612 0.112 0.500
0.023 0.335 0.688
0.353 0.665 0.688
0.647 0.335 0.312
0.977 0.665 0.312
0.250 0.250 0.000
0.302 0.500 0.802
0.698 0.500 0.198
0.750 0.750 0.000
```

Summary:
As for the space group: Immm. The calculation puts the density of states at the Fermi level at 4.984 states/eV per cell. The calculation puts the energy relative to the elements at -391 meV per atom.

***

# 6
Here is crystalline Sm3Hg2Rh at its relaxed geometry from the Alexandria database. Energies are from PBE.

Geometry as POSCAR:
```
Sm3Hg2Rh
1.0
12.851 0.000 0.000
0.000 4.690 0.000
0.000 0.000 10.571
Sm Hg Rh
12 8 4
direct
0.057 0.250 0.109
0.106 0.750 0.555
0.244 0.750 0.280
0.256 0.250 0.780
0.394 0.250 0.055
0.443 0.750 0.609
0.557 0.250 0.391
0.606 0.750 0.945
0.744 0.750 0.220
0.756 0.250 0.720
0.894 0.250 0.445
0.943 0.750 0.891
0.015 0.250 0.720
0.193 0.750 0.985
0.307 0.250 0.485
0.485 0.750 0.220
0.515 0.250 0.780
0.693 0.750 0.515
0.807 0.250 0.015
0.985 0.750 0.280
0.113 0.250 0.364
0.387 0.750 0.864
0.613 0.250 0.136
0.887 0.750 0.636
```

Summary:
As for the space group: Pnma. For the energy above the most stable polymorph in this dataset, the calculation gives 0.00 eV per formula unit. The calculation puts the density of states at the Fermi level at 22.568 states/eV per cell. The calculation puts the energy relative to the elements at -524 meV per atom.

***

# 7
Here is crystalline Sm6HgRh2 at its relaxed geometry from the Alexandria database. Energies are from PBE.

Geometry as POSCAR:
```
Sm6HgRh2
1.0
5.158 -2.567 0.000
5.158 2.567 0.000
-1.789 0.000 9.076
Sm Hg Rh
6 1 2
direct
0.036 0.036 0.344
0.289 0.289 0.666
0.342 0.342 0.109
0.658 0.658 0.891
0.711 0.711 0.334
0.964 0.964 0.656
0.000 0.000 0.000
0.377 0.377 0.400
0.623 0.623 0.600
```

Summary:
As for the space group: C2/m. For the energy above the most stable polymorph in this dataset, the calculation gives 0.83 eV per formula unit. The calculation puts the density of states at the Fermi level at 7.912 states/eV per cell. The calculation puts the energy relative to the elements at -406 meV per atom.

***

# 8
Here is crystalline Sm3Hg2Rh3 at its relaxed geometry from the Alexandria database. Energies are from PBE.

Geometry as POSCAR:
```
Sm3Hg2Rh3
1.0
8.379 0.000 0.000
-4.189 7.256 0.000
0.000 0.000 5.923
Sm Hg Rh
6 4 6
direct
0.000 0.281 0.250
0.000 0.719 0.750
0.281 0.000 0.250
0.281 0.281 0.750
0.719 0.000 0.750
0.719 0.719 0.250
0.333 0.667 0.000
0.333 0.667 0.500
0.667 0.333 0.000
0.667 0.333 0.500
0.000 0.382 0.750
0.000 0.618 0.250
0.382 0.000 0.750
0.382 0.382 0.250
0.618 0.000 0.250
0.618 0.618 0.750
```

Summary:
As for the space group: P6_3/mcm. The calculation puts the density of states at the Fermi level at 10.813 states/eV per cell. The calculation puts the energy relative to the elements at -502 meV per atom.

***

# 9
Here is crystalline Sm3Hg2Rh2 at its relaxed geometry from the Alexandria database. Energies are from PBE.

Geometry as POSCAR:
```
Sm3Hg2Rh2
1.0
1.954 -11.326 0.000
1.954 11.326 0.000
0.000 0.000 3.844
Sm Hg Rh
3 2 2
direct
0.000 0.000 0.000
0.174 0.826 0.000
0.826 0.174 0.000
0.417 0.583 0.500
0.583 0.417 0.500
0.290 0.710 0.500
0.710 0.290 0.500
```

Summary:
As for the space group: Cmmm. The calculation puts the density of states at the Fermi level at 4.675 states/eV per cell. The calculation puts the energy relative to the elements at -579 meV per atom.

***

# 10
Here is crystalline Sm3HgRh at its relaxed geometry from the Alexandria database. Energies are from PBE.

Geometry as POSCAR:
```
Sm3HgRh
1.0
7.364 0.000 0.000
0.000 4.932 0.000
0.000 0.000 15.051
Sm Hg Rh
12 4 4
direct
0.010 0.250 0.103
0.134 0.750 0.456
0.187 0.250 0.722
0.313 0.750 0.222
0.366 0.250 0.956
0.490 0.750 0.603
0.510 0.250 0.397
0.634 0.750 0.044
0.687 0.250 0.778
0.813 0.750 0.278
0.866 0.250 0.544
0.990 0.750 0.897
0.094 0.250 0.318
0.406 0.750 0.818
0.594 0.250 0.182
0.906 0.750 0.682
0.224 0.750 0.045
0.276 0.250 0.545
0.724 0.750 0.455
0.776 0.250 0.955
```

Summary:
As for the space group: Pnma. For the energy above the most stable polymorph in this dataset, the calculation gives 0.00 eV per formula unit. The calculation puts the density of states at the Fermi level at 18.473 states/eV per cell. The calculation puts the energy relative to the elements at -521 meV per atom.

***

# 11
Here is crystalline Sm2Hg2Rh at its relaxed geometry from the Alexandria database. Energies are from PBE.

Geometry as POSCAR:
```
Sm2Hg2Rh
1.0
6.125 -1.965 0.000
6.125 1.965 0.000
-4.574 0.000 10.558
Sm Hg Rh
4 4 2
direct
0.101 0.101 0.388
0.183 0.183 0.108
0.817 0.817 0.892
0.899 0.899 0.612
0.390 0.390 0.381
0.462 0.462 0.135
0.538 0.538 0.865
0.610 0.610 0.619
0.289 0.289 0.704
0.711 0.711 0.296
```

Summary:
As for the space group: C2/m. The calculation puts the density of states at the Fermi level at 5.663 states/eV per cell. The calculation puts the energy relative to the elements at -541 meV per atom.

***

# 12
Here is crystalline Sm3Hg2Rh at its relaxed geometry from the Alexandria database. Energies are from PBE.

Geometry as POSCAR:
```
Sm3Hg2Rh
1.0
7.575 -2.965 0.000
7.575 2.965 0.000
-1.005 0.000 3.778
Sm Hg Rh
3 2 1
direct
0.000 0.000 0.000
0.366 0.366 0.367
0.634 0.634 0.633
0.190 0.190 0.692
0.810 0.810 0.308
0.500 0.500 0.000
```

Summary:
As for the space group: C2/m. For the energy above the most stable polymorph in this dataset, the calculation gives 0.26 eV per formula unit. The calculation puts the density of states at the Fermi level at 3.594 states/eV per cell. The calculation puts the energy relative to the elements at -481 meV per atom.

***

# 13
Here is crystalline Sm12Hg5Rh2 at its relaxed geometry from the Alexandria database. Energies are from PBE.

Geometry as POSCAR:
```
Sm12Hg5Rh2
1.0
8.220 -4.001 0.000
8.220 4.001 0.000
-2.738 0.000 8.708
Sm Hg Rh
12 5 2
direct
0.020 0.020 0.321
0.071 0.587 0.323
0.079 0.678 0.945
0.322 0.921 0.055
0.413 0.929 0.677
0.414 0.414 0.658
0.586 0.586 0.342
0.587 0.071 0.323
0.678 0.079 0.945
0.921 0.322 0.055
0.929 0.413 0.677
0.980 0.980 0.679
0.213 0.213 0.415
0.266 0.266 0.968
0.500 0.500 0.000
0.734 0.734 0.032
0.787 0.787 0.585
0.286 0.714 0.500
0.714 0.286 0.500
```

Summary:
As for the space group: C2/m. The calculation puts the density of states at the Fermi level at 19.590 states/eV per cell. The calculation puts the energy relative to the elements at -290 meV per atom.

***

# 14
Here is crystalline Sm5Hg2Rh2 at its relaxed geometry from the Alexandria database. Energies are from PBE.

Geometry as POSCAR:
```
Sm5Hg2Rh2
1.0
8.013 -3.783 0.000
8.013 3.783 0.000
0.000 0.000 7.909
Sm Hg Rh
10 4 4
direct
0.000 0.000 0.000
0.047 0.708 0.673
0.208 0.547 0.173
0.292 0.953 0.673
0.453 0.792 0.173
0.500 0.500 0.500
0.547 0.208 0.827
0.708 0.047 0.327
0.792 0.453 0.827
0.953 0.292 0.327
0.214 0.214 0.000
0.286 0.286 0.500
0.714 0.714 0.500
0.786 0.786 0.000
0.131 0.869 0.368
0.369 0.631 0.868
0.631 0.369 0.132
0.869 0.131 0.632
```

Summary:
As for the space group: Cmce. The calculation puts the density of states at the Fermi level at 12.063 states/eV per cell. The calculation puts the energy relative to the elements at -575 meV per atom.

***

# 15
Here is crystalline Sm2HgRh at its relaxed geometry from the Alexandria database. Energies are from PBE.

Geometry as POSCAR:
```
Sm2HgRh
1.0
2.008 1.159 7.876
-2.008 1.159 7.876
0.000 -2.318 7.876
Sm Hg Rh
2 1 1
direct
0.235 0.235 0.235
0.765 0.765 0.765
0.000 0.000 0.000
0.500 0.500 0.500
```

Summary:
As for the space group: R-3m. For the energy above the most stable polymorph in this dataset, the calculation gives 0.16 eV per formula unit. The calculation puts the density of states at the Fermi level at 2.444 states/eV per cell. The calculation puts the energy relative to the elements at -571 meV per atom.

***

# 16
Here is crystalline Sm2HgRh at its relaxed geometry from the Alexandria database. Energies are from PBE.

Geometry as POSCAR:
```
Sm2HgRh
1.0
3.571 0.000 0.000
0.000 3.571 0.000
0.000 0.000 7.660
Sm Hg Rh
2 1 1
direct
0.000 0.000 0.220
0.000 0.000 0.780
0.500 0.500 0.500
0.500 0.500 0.000
```

Summary:
As for the space group: P4/mmm. For the energy above the most stable polymorph in this dataset, the calculation gives 0.00 eV per formula unit. The calculation puts the density of states at the Fermi level at 1.729 states/eV per cell. The calculation puts the energy relative to the elements at -613 meV per atom.

***

# 17
Here is crystalline Sm4Hg2Rh at its relaxed geometry from the Alexandria database. Energies are from PBE.

Geometry as POSCAR:
```
Sm4Hg2Rh
1.0
6.901 0.000 0.000
0.000 3.861 0.000
-2.573 0.000 8.028
Sm Hg Rh
4 2 1
direct
0.098 0.000 0.288
0.393 0.500 0.693
0.607 0.500 0.307
0.902 0.000 0.712
0.216 0.500 0.997
0.784 0.500 0.003
0.500 0.000 0.500
```

Summary:
As for the space group: P2/m. The calculation puts the density of states at the Fermi level at 7.336 states/eV per cell. The calculation puts the energy relative to the elements at -349 meV per atom.

***

# 18
Here is crystalline Sm3HgRh at its relaxed geometry from the Alexandria database. Energies are from PBE.

Geometry as POSCAR:
```
Sm3HgRh
1.0
8.382 0.000 0.000
0.000 4.193 0.000
-2.866 0.000 8.035
Sm Hg Rh
6 2 2
direct
0.055 0.250 0.255
0.318 0.250 0.953
0.329 0.750 0.603
0.671 0.250 0.397
0.682 0.750 0.047
0.945 0.750 0.745
0.344 0.750 0.231
0.656 0.250 0.769
0.094 0.250 0.615
0.906 0.750 0.385
```

Summary:
As for the space group: P2_1/m. For the energy above the most stable polymorph in this dataset, the calculation gives 0.15 eV per formula unit. The calculation puts the density of states at the Fermi level at 10.198 states/eV per cell. The calculation puts the energy relative to the elements at -491 meV per atom.

***

# 19
Here is crystalline Sm4Hg3Rh at its relaxed geometry from the Alexandria database. Energies are from PBE.

Geometry as POSCAR:
```
Sm4Hg3Rh
1.0
3.679 0.000 0.000
0.000 3.679 0.000
0.000 0.000 15.233
Sm Hg Rh
4 3 1
direct
0.000 0.000 0.108
0.000 0.000 0.371
0.000 0.000 0.629
0.000 0.000 0.892
0.500 0.500 0.243
0.500 0.500 0.500
0.500 0.500 0.757
0.500 0.500 0.000
```

Summary:
As for the space group: P4/mmm. The calculation puts the density of states at the Fermi level at 7.331 states/eV per cell. The calculation puts the energy relative to the elements at -536 meV per atom.

***

# 20
Here is crystalline Sm7Hg2Rh2 at its relaxed geometry from the Alexandria database. Energies are from PBE.

Geometry as POSCAR:
```
Sm7Hg2Rh2
1.0
4.038 -5.577 0.000
4.038 5.577 0.000
0.000 0.000 7.268
Sm Hg Rh
7 2 2
direct
0.000 0.000 0.000
0.000 0.500 0.253
0.000 0.500 0.747
0.500 0.000 0.253
0.500 0.000 0.747
0.500 0.500 0.246
0.500 0.500 0.754
0.181 0.181 0.500
0.819 0.819 0.500
0.290 0.710 0.000
0.710 0.290 0.000
```

Summary:
As for the space group: Cmmm. The calculation puts the density of states at the Fermi level at 11.056 states/eV per cell. The calculation puts the energy relative to the elements at -381 meV per atom.